Record 1
TePt2Cl | PBE | relaxed

a b c (Å): 3.489 3.489 6.519
angles (deg): 90.00 90.00 90.00
Atoms (fractional coordinates):
Te  0.000  0.000  0.000
Pt  0.500  0.500  0.217
Pt  0.500  0.500  0.783
Cl  0.000  0.000  0.500

distance to the lowest polymorph of the same formula	512.0	meV per atom
DOS(E_F)	1.349	states/eV per cell
uncorrected formation energy	272.5	meV/atom

***

Record 2
TbErIrRu | PBE | relaxed

a b c (Å): 6.808 6.808 6.808
angles (deg): 90.00 90.00 90.00
Atoms (fractional coordinates):
Tb  0.000  0.000  0.000
Tb  0.000  0.500  0.500
Tb  0.500  0.000  0.500
Tb  0.500  0.500  0.000
Er  0.000  0.000  0.500
Er  0.000  0.500  0.000
Er  0.500  0.000  0.000
Er  0.500  0.500  0.500
Ir  0.250  0.250  0.750
Ir  0.250  0.750  0.250
Ir  0.750  0.250  0.250
Ir  0.750  0.750  0.750
Ru  0.250  0.250  0.250
Ru  0.250  0.750  0.750
Ru  0.750  0.250  0.750
Ru  0.750  0.750  0.250

distance to the lowest polymorph of the same formula	0.0	meV per atom
DOS(E_F)	8.670	states/eV per cell
ΔH_f (0 K)	-0.622	eV/atom

***

Record 3
TlSn2Se2 | PBE | relaxed

a b c (Å): 8.426 8.426 3.998
angles (deg): 90.00 90.00 90.00
Atoms (fractional coordinates):
Tl  0.000  0.000  0.000
Tl  0.500  0.500  0.000
Sn  0.146  0.354  0.000
Sn  0.354  0.854  0.000
Sn  0.646  0.146  0.000
Sn  0.854  0.646  0.000
Se  0.187  0.687  0.500
Se  0.313  0.187  0.500
Se  0.687  0.813  0.500
Se  0.813  0.313  0.500

distance to the lowest polymorph of the same formula	32.9	meV per atom
DOS(E_F)	4.877	states/eV per cell
uncorrected formation energy	-186.8	meV/atom

***

Record 4
Cs2LaBr6O | PBE | relaxed

a b c (Å): 8.482 8.482 8.482
angles (deg): 127.02 127.02 78.22
Atoms (fractional coordinates):
Cs  0.250  0.750  0.500
Cs  0.750  0.250  0.500
La  0.000  0.000  0.000
Br  0.222  0.222  0.000
Br  0.272  0.272  0.545
Br  0.272  0.728  0.000
Br  0.728  0.272  0.000
Br  0.728  0.728  0.455
Br  0.778  0.778  0.000
O  0.500  0.500  0.000

DOS(E_F)	2.021	states/eV per cell
uncorrected formation energy	-1229.2	meV/atom

***

Record 5
CeTmTeP | PBE | relaxed

a b c (Å): 4.090 4.090 21.936
angles (deg): 90.00 90.00 120.00
Atoms (fractional coordinates):
Ce  0.000  0.000  0.000
Ce  0.333  0.667  0.667
Ce  0.667  0.333  0.333
Tm  0.000  0.000  0.195
Tm  0.333  0.667  0.862
Tm  0.667  0.333  0.528
Te  0.000  0.000  0.433
Te  0.333  0.667  0.100
Te  0.667  0.333  0.767
P  0.000  0.000  0.595
P  0.333  0.667  0.262
P  0.667  0.333  0.929

DOS(E_F)	18.936	states/eV per cell
uncorrected formation energy	-1431.2	meV/atom

***

Record 6
Tl2FeSb | PBE | relaxed

a b c (Å): 3.303 3.303 8.942
angles (deg): 90.00 90.00 90.00
Atoms (fractional coordinates):
Tl  0.000  0.000  0.000
Tl  0.500  0.500  0.311
Fe  0.000  0.000  0.535
Sb  0.500  0.500  0.681

distance to the lowest polymorph of the same formula	0.0	meV per atom
DOS(E_F)	4.596	states/eV per cell
uncorrected formation energy	248.7	meV/atom